[1]
VASP calculation (PBE) on a relaxed structure of Li2InBr4.

a = 5.914 Å, b = 5.914 Å, c = 7.550 Å
α = 113.06°, β = 113.06°, γ = 90.00°
Atoms (fractional coordinates):
1 Li 0.250 0.750 0.500
2 Li 0.750 0.250 0.500
3 Br 0.096 0.096 0.735
4 Br 0.639 0.639 0.735
5 Br 0.361 0.904 0.265
6 Br 0.904 0.361 0.265
7 In 0.500 0.500 0.000

Computed properties:
VASP energy	-3.00	eV per atom

[2]
VASP calculation (PBE) on a relaxed structure of Er2TeIr.

a = 4.107 Å, b = 4.107 Å, c = 7.538 Å
α = 74.19°, β = 74.19°, γ = 60.00°
Atoms (fractional coordinates):
1 Ir 0.000 0.000 0.000
2 Te 0.500 0.500 0.500
3 Er 0.264 0.264 0.207
4 Er 0.736 0.736 0.793

Computed properties:
VASP energy	-6.30	eV per atom
energy above the most stable polymorph in this dataset	0.000	eV/atom

no.,E_form (uncorrected) (meV/atom)
1,-1103
2,-1022